1.
This record from the Alexandria database describes a PBEsol-optimized structure of CoCuOs2. The functional is meta-GGA SCAN.

a b c (Å): 2.5963 4.6387 5.0290
angles (deg): 116.60 103.54 92.99
With the nearest neighbours (Å) after each atom.
Atoms (fractional coordinates):
Cu  0.0000  0.5000  0.0000  4 Os 2.55, 2 Cu 2.60, 4 Co 2.60-2.72
Os  0.0000  0.0000  0.5000  2 Co 2.55, 2 Cu 2.55, 6 Os 2.60-2.72
Os  0.5000  0.5000  0.5000  2 Cu 2.55, 2 Co 2.55, 6 Os 2.60-2.72
Co  0.5000  0.0000  0.0000  4 Os 2.55, 2 Co 2.60, 4 Cu 2.60-2.72

Calculated values
spin magnetization	2.5	μB/f.u.
symmetry	No. 12
formation energy from the elements	0.429	eV/atom
excess energy over the best structure of this formula in the dataset	0	kJ/mol of formula units



2.
This record from the Alexandria database describes a PBEsol-optimized structure of TbMn2Si2. The functional is meta-GGA SCAN.

a b c (Å): 3.8511 3.8511 5.7929
angles (deg): 109.41 109.41 90.00
With the nearest neighbours (Å) after each atom.
Atoms (fractional coordinates):
Si  0.6208  0.6208  0.2417  4 Mn 2.34, 1 Si 2.47
Si  0.3792  0.3792  0.7583  4 Mn 2.34, 1 Si 2.47
Mn  0.2500  0.7500  0.5000  4 Si 2.34
Mn  0.7500  0.2500  0.5000  4 Si 2.34
Tb  0.0000  0.0000  0.0000  8 Si 2.99, 8 Mn 3.20

Calculated values
spin magnetization	4.1	μB/f.u.
symmetry	No. 139
formation energy without anion corrections	-0.706	eV/atom



3.
This record from the Alexandria database describes a PBEsol-optimized structure of AlCd2In. The functional is meta-GGA SCAN.

a b c (Å): 4.4013 4.4013 5.3551
angles (deg): 114.26 114.26 90.00
With the nearest neighbours (Å) after each atom.
Atoms (fractional coordinates):
Cd  0.2500  0.7500  0.5000  4 In 3.10, 4 Al 3.10, 4 Cd 3.11
Cd  0.7500  0.2500  0.5000  4 In 3.10, 4 Al 3.10, 4 Cd 3.11
Al  0.5000  0.5000  0.0000  8 Cd 3.10, 4 In 3.11
In  0.0000  0.0000  0.0000  8 Cd 3.10, 4 Al 3.11

Calculated values
spin magnetization	0.0	μB/f.u.
symmetry	No. 139
formation energy from the elements	0.129	eV/atom
excess energy over the best structure of this formula in the dataset	0	kJ/mol of formula units



4.
This record from the Alexandria database describes a PBEsol-optimized structure of In2HIr. The functional is meta-GGA SCAN.

a b c (Å): 4.4842 4.4842 4.4842
angles (deg): 60.00 60.00 60.00
With the nearest neighbours (Å) after each atom.
Atoms (fractional coordinates):
H  0.0000  0.0000  0.0000  8 In 2.75
In  0.2500  0.2500  0.2500  4 H 2.75, 4 Ir 2.75
In  0.7500  0.7500  0.7500  4 H 2.75, 4 Ir 2.75
Ir  0.5000  0.5000  0.5000  8 In 2.75

Calculated values
final energy	-1.2846	Ha/atom
spin magnetization	0.8	μB/f.u.
symmetry	No. 225



5.
This record from the Alexandria database describes a PBEsol-optimized structure of Li4Ti2Mn3Ni3O16. The functional is meta-GGA SCAN.

a b c (Å): 5.6612 5.7283 9.3347
angles (deg): 91.56 90.00 119.61
With the nearest neighbours (Å) after each atom.
Atoms (fractional coordinates):
Ni  0.3401  0.1705  0.2863  5 O 1.87-2.08
Ni  0.8304  0.1705  0.2863  5 O 1.87-2.08
Ni  0.1712  0.3425  0.7877  6 O 1.94-2.05
O  0.6711  0.3422  0.3881  1 Mn 1.87, 2 Ni 1.87, 1 Li 2.00
O  0.9701  0.5005  0.1556  1 Mn 1.86, 1 Li 1.89, 1 Ti 2.02, 1 Ni 2.08
O  0.9947  0.9894  0.6928  1 Li 1.77, 2 Mn 1.88, 1 Ni 1.94
O  0.3314  0.1549  0.9049  1 Li 1.88, 1 Ti 1.90, 1 Mn 1.96, 1 Ni 2.05
O  0.6592  0.8128  0.4032  1 Ti 1.89, 1 Li 1.89, 1 Mn 1.95
O  0.5246  0.0492  0.1622  1 Li 1.89, 2 Ni 1.89, 1 Ti 2.06
O  0.0354  0.5296  0.6598  1 Mn 1.85, 1 Li 1.89, 1 Ni 2.01, 1 Ti 2.07
O  0.4942  0.5296  0.6598  1 Mn 1.85, 1 Li 1.89, 1 Ni 2.01, 1 Ti 2.07
O  0.1594  0.3187  0.4044  1 Li 1.89, 1 Ti 1.89, 2 Ni 1.95
O  0.3416  0.6831  0.8941  2 Mn 1.88, 1 Ni 1.94, 1 Li 1.98
O  0.5304  0.5005  0.1556  1 Mn 1.86, 1 Li 1.89, 1 Ti 2.02, 1 Ni 2.08
O  0.9958  0.9917  0.1970  1 Li 1.77, 1 Mn 1.88, 2 Ni 1.88
O  0.8374  0.6748  0.8973  1 Li 1.94, 2 Mn 1.95, 1 Ti 2.01
O  0.4809  0.9618  0.6684  2 Mn 1.90, 1 Li 1.96
O  0.8235  0.1549  0.9049  1 Li 1.88, 1 Ti 1.90, 1 Mn 1.96, 1 Ni 2.05
O  0.1536  0.8128  0.4032  1 Ti 1.89, 1 Li 1.89, 1 Mn 1.95
Mn  0.8276  0.6552  0.2820  6 O 1.86-1.95
Mn  0.1674  0.8259  0.7847  6 O 1.85-1.96
Mn  0.6585  0.8259  0.7847  6 O 1.85-1.96
Ti  0.6675  0.3351  0.0075  6 O 1.90-2.06
Ti  0.3278  0.6556  0.5029  5 O 1.89-2.07
Li  0.3406  0.6811  0.1060  4 O 1.89-1.98
Li  0.9968  0.9935  0.5029  4 O 1.77-1.89
Li  0.6656  0.3311  0.6023  4 O 1.89-2.00
Li  0.0053  0.0106  0.0077  4 O 1.77-1.94

Calculated values
spin magnetization	13.0	μB/f.u.
symmetry	No. 8
formation energy without anion corrections	-2.237	eV/atom



6.
This record from the Alexandria database describes a PBEsol-optimized structure of MgAg3. The functional is meta-GGA SCAN.

a b c (Å): 7.7502 7.7502 8.3698
angles (deg): 90.00 90.00 120.00
With the nearest neighbours (Å) after each atom.
Atoms (fractional coordinates):
Ag  0.0000  0.3104  0.3018  6 Ag 2.76-2.79, 4 Mg 2.83-3.01
Ag  0.0000  0.0000  0.4693  6 Ag 2.78, 3 Mg 2.87
Ag  0.0000  0.6896  0.8018  6 Ag 2.76-2.79, 4 Mg 2.83-3.01
Ag  0.6882  0.0000  0.1339  6 Ag 2.76-2.79, 4 Mg 2.82-3.01
Ag  0.3118  0.3118  0.1339  6 Ag 2.76-2.79, 4 Mg 2.82-3.01
Ag  0.6896  0.6896  0.3018  6 Ag 2.76-2.79, 4 Mg 2.83-3.01
Ag  0.0000  0.0000  0.9693  6 Ag 2.78, 3 Mg 2.87
Ag  0.3333  0.6667  0.2193  6 Ag 2.76
Ag  0.3104  0.3104  0.8018  6 Ag 2.76-2.79, 4 Mg 2.83-3.01
Ag  0.6882  0.6882  0.6339  6 Ag 2.76-2.79, 4 Mg 2.82-3.01
Ag  0.0000  0.6882  0.1339  6 Ag 2.76-2.79, 4 Mg 2.82-3.01
Ag  0.3118  0.0000  0.6339  6 Ag 2.76-2.79, 4 Mg 2.82-3.01
Ag  0.0000  0.3118  0.6339  6 Ag 2.76-2.79, 4 Mg 2.82-3.01
Ag  0.6667  0.3333  0.2193  6 Ag 2.76
Ag  0.6896  0.0000  0.8018  6 Ag 2.76-2.79, 4 Mg 2.83-3.01
Ag  0.3333  0.6667  0.7193  6 Ag 2.76
Ag  0.6667  0.3333  0.7193  6 Ag 2.76
Ag  0.3104  0.0000  0.3018  6 Ag 2.76-2.79, 4 Mg 2.83-3.01
Mg  0.3709  0.3709  0.4679  9 Ag 2.82-3.01
Mg  0.6291  0.6291  0.9679  9 Ag 2.82-3.01
Mg  0.0000  0.3709  0.9679  9 Ag 2.82-3.01
Mg  0.6291  0.0000  0.4679  9 Ag 2.82-3.01
Mg  0.0000  0.6291  0.4679  9 Ag 2.82-3.01
Mg  0.3709  0.0000  0.9679  9 Ag 2.82-3.01

Calculated values
spin magnetization	0.0	μB/f.u.
symmetry	No. 185
formation energy from the elements	-0.073	eV/atom
excess energy over the best structure of this formula in the dataset	33	kJ/mol of formula units



7.
This record from the Alexandria database describes a PBEsol-optimized structure of Cd3CuMo. The functional is meta-GGA SCAN.

a b c (Å): 4.7337 4.7337 4.7337
angles (deg): 90.00 90.00 90.00
With the nearest neighbours (Å) after each atom.
Atoms (fractional coordinates):
Mo  0.5000  0.5000  0.5000  12 Cd 3.35
Cd  0.5000  0.0000  0.0000  2 Cu 2.37
Cd  0.0000  0.5000  0.0000  2 Cu 2.37
Cd  0.0000  0.0000  0.5000  2 Cu 2.37
Cu  0.0000  0.0000  0.0000  6 Cd 2.37

Calculated values
spin magnetization	3.8	μB/f.u.
symmetry	No. 221
formation energy from the elements	0.896	eV/atom



8.
This record from the Alexandria database describes a PBEsol-optimized structure of GeClF2. The functional is meta-GGA SCAN.

a b c (Å): 3.4257 3.4257 9.0141
angles (deg): 79.05 79.05 60.00
With the nearest neighbours (Å) after each atom.
Atoms (fractional coordinates):
Cl  0.0000  0.0000  0.0000  2 F 3.40, 6 Cl 3.43
Ge  0.5000  0.5000  0.5000  6 F 2.22
F  0.1288  0.1288  0.6135  3 Ge 2.22
F  0.8712  0.8712  0.3865  3 Ge 2.22

Calculated values
spin magnetization	0.9	μB/f.u.
symmetry	No. 166
formation energy without anion corrections	-1.059	eV/atom